! Li24Mn5Cr7O36, optimized geometry, DFT GGA+U; values from VASP
! Space-group type = P1 (1)
! Polymorph energy (0 for the lowest one) = 0.000 eV/atom
! Electronic total energy = -448.50 eV/cell
&SYSTEM
  ibrav = 0, nat = 72, ntyp = 4
/
ATOMIC_SPECIES
Li 6.94 Li.upf
Mn 54.94 Mn.upf
Cr 52.00 Cr.upf
O 16.00 O.upf
ATOMIC_POSITIONS angstrom
Li 0.0000 0.0000 0.0000
Li -1.6002 3.9134 6.4596
Li -1.5379 3.5712 9.2836
Li -0.7341 9.2868 2.8551
Li -1.5069 3.1487 12.0924
Li 0.1594 -0.7543 5.7091
Li -0.7207 0.9896 10.3917
Li 0.0985 6.7491 3.9146
Li -0.7844 8.5015 8.5884
Li 0.8715 4.5680 2.2155
Li 0.1255 -1.5684 11.4599
Li 0.9514 4.1395 4.9932
Li 1.0167 3.7729 7.8444
Li 1.8128 9.5016 1.3977
Li 1.7940 1.5774 6.0847
Li 0.1962 5.5345 12.5497
Li 1.7305 9.0853 4.3057
Li 1.0054 3.3656 10.8112
Li 2.6010 -0.9807 7.1781
Li 3.3967 4.7582 0.6956
Li 3.4809 4.3675 3.5483
Li 2.7408 -1.3772 10.0161
Li 4.2699 2.1783 1.7804
Li 2.6495 6.1350 8.2563
Mn -2.3664 5.7313 11.0891
Mn -0.7239 1.7952 4.6599
Mn -0.7219 1.3621 7.5018
Mn 2.6034 6.9461 2.5121
Mn 1.8385 0.7849 11.8169
Cr 0.1093 7.1251 1.0389
Cr 1.6883 2.3538 0.3433
Cr 0.1005 6.3202 6.7625
Cr 0.1601 5.9522 9.6827
Cr 1.8224 1.9884 3.2184
Cr 1.7693 1.1847 8.9598
Cr 2.6217 6.5293 5.4107
O -1.6105 0.1120 8.6799
O -0.8286 5.8661 2.2216
O -1.5494 7.4228 6.8175
O 0.1242 3.4354 0.3768
O -1.6011 -0.3037 11.7411
O -0.7480 5.4410 5.3438
O -1.5020 7.0301 9.9341
O 0.1483 3.0515 3.4731
O -1.6565 6.6025 12.6917
O -0.5760 5.0689 8.0807
O 0.0069 2.6395 6.2355
O 1.0695 1.0921 1.5856
O 0.8707 0.7195 4.3645
O -0.7476 4.6820 10.8162
O 0.2066 2.2553 8.9764
O 1.0084 8.0236 2.5667
O 0.8733 0.2877 7.4419
O 1.6717 6.0549 1.0252
O 0.9680 7.6122 5.6719
O 0.2320 1.8487 12.0919
O 2.4327 3.2561 1.9667
O 0.8174 7.2014 8.3885
O 1.8953 5.6797 3.7817
O 1.1317 -0.0790 10.2268
O 3.3508 1.2984 0.0755
O 1.7636 5.2449 6.5005
O 1.0447 6.8043 11.1447
O 2.7077 2.8688 4.7269
O 3.3911 0.9119 3.1773
O 1.7916 4.8543 9.6125
O 2.7136 2.4423 7.7888
O 3.4887 8.1966 1.3160
O 1.9614 4.4632 12.3572
O 3.5817 0.5172 5.9236
O 2.5529 2.0580 10.5654
O 3.3304 7.7918 4.0805
CELL_PARAMETERS angstrom
5.0332 0.0000 0.0000
-0.8507 9.7091 0.0000
-2.3974 -1.7790 12.9229